Entry 1:
DFT (PBE-GGA) results for a geometry-optimized LiReIr3 structure.

a b c (Å): 4.7609 4.7609 4.7609
angles (deg): 90.00 90.00 90.00
Last column: nearest neighbours and their distance in Å.
Space group Pm-3m (No. 221)
One atom of each set of equivalent atoms:
Li (0.0000, 0.0000, 0.0000) x1  12 Ir 3.37
Re (0.5000, 0.5000, 0.5000) x1  6 Ir 2.38
Ir (0.0000, 0.5000, 0.5000) x3  2 Re 2.38

Values from the calculation:
Energy above the most stable polymorph in this dataset ... 0.4292 eV/atom
Formation enthalpy at 0 K ... 1.335 eV/atom
Total DFT energy (no corrections) ... -6.8543 eV per atom


Entry 2:
DFT (PBE-GGA) results for a geometry-optimized Sm2Mg3Ag2 structure.

a b c (Å): 10.6865 4.3899 7.4898
angles (deg): 90.00 96.04 90.00
Last column: nearest neighbours and their distance in Å.
Space group C2/m (No. 12)
One atom of each set of equivalent atoms:
Sm (0.1250, 0.0000, 0.3473) x4  5 Ag 3.06-3.24
Mg (0.0000, 0.5000, 0.0000) x2  2 Ag 2.84
Mg (0.1858, 0.0000, 0.8683) x4  2 Ag 2.84, 2 Mg 3.17
Ag (0.0891, 0.5000, 0.6554) x4  3 Mg 2.84, 1 Ag 2.85, 3 Sm 3.06-3.17

Values from the calculation:
Energy above the most stable polymorph in this dataset ... 0.0489 eV/atom
Formation enthalpy at 0 K ... -0.184 eV/atom
Total DFT energy (no corrections) ... -3.0307 eV per atom


Entry 3:
DFT (PBE-GGA) results for a geometry-optimized Cu2NiHAu structure.

a b c (Å): 3.9037 3.9037 3.6047
angles (deg): 90.00 90.00 90.00
Last column: nearest neighbours and their distance in Å.
Space group P4/mmm (No. 123)
One atom of each set of equivalent atoms:
Cu (0.0000, 0.5000, 0.0000) x2  2 H 1.95
Ni (0.0000, 0.0000, 0.5000) x1  2 H 1.80
H (0.0000, 0.0000, 0.0000) x1  2 Ni 1.80, 4 Cu 1.95
Au (0.5000, 0.5000, 0.5000) x1  8 Cu 2.66, 4 Ni 2.76

Values from the calculation:
Total DFT energy (no corrections) ... -4.1189 eV per atom


Entry 4:
DFT (PBE-GGA) results for a geometry-optimized Ba2RhAu structure.

a b c (Å): 5.6010 5.6010 3.8290
angles (deg): 90.00 90.00 90.00
Last column: nearest neighbours and their distance in Å.
Space group P4/mmm (No. 123)
One atom of each set of equivalent atoms:
Ba (0.0000, 0.5000, 0.0000) x2  4 Au 3.39, 4 Rh 3.39
Rh (0.0000, 0.0000, 0.5000) x1  8 Ba 3.39
Au (0.5000, 0.5000, 0.5000) x1  8 Ba 3.39

Values from the calculation:
Formation enthalpy at 0 K ... -0.315 eV/atom
Total DFT energy (no corrections) ... -3.9337 eV per atom


Entry 5:
DFT (PBE-GGA) results for a geometry-optimized Pr2Al3NiPt12 structure.

a b c (Å): 7.9762 7.9762 19.7699
angles (deg): 90.00 90.00 120.00
Last column: nearest neighbours and their distance in Å.
Space group R-3m (No. 166, hexagonal axes)
One atom of each set of equivalent atoms:
Pr (0.0000, 0.0000, 0.1311) x6  6 Pt 2.81-2.90
Al (0.0000, 0.5000, 0.0000) x9  6 Pt 2.44-2.45
Ni (0.0000, 0.0000, 0.5000) x3  6 Pt 2.42
Pt (0.0016, 0.5008, 0.6251) x18  2 Al 2.45
Pt (0.0050, 0.5025, 0.1233) x18  1 Ni 2.42, 1 Al 2.44

Values from the calculation:
Formation enthalpy at 0 K ... -0.418 eV/atom
Total DFT energy (no corrections) ... -5.9213 eV per atom


Entry 6:
DFT (PBE-GGA) results for a geometry-optimized Nd2HoEr9 structure.

a b c (Å): 5.0019 5.0019 14.9982
angles (deg): 90.00 90.00 90.00
Last column: nearest neighbours and their distance in Å.
Space group P4/mmm (No. 123)
One atom of each set of equivalent atoms:
Nd (0.0000, 0.0000, 0.1672) x2  12 Er 3.54-3.55
Ho (0.0000, 0.0000, 0.5000) x1  12 Er 3.51-3.54
Er (0.0000, 0.5000, 0.0000) x2  8 Er 3.54-3.55, 4 Nd 3.54
Er (0.0000, 0.5000, 0.3356) x4  2 Ho 3.51, 8 Er 3.51-3.55, 2 Nd 3.55
Er (0.5000, 0.5000, 0.1680) x2  4 Nd 3.54, 8 Er 3.55
Er (0.5000, 0.5000, 0.5000) x1  8 Er 3.51, 4 Ho 3.54

Values from the calculation:
Energy above the most stable polymorph in this dataset ... 0.0000 eV/atom
Formation enthalpy at 0 K ... 0.025 eV/atom
Total DFT energy (no corrections) ... -4.5732 eV per atom


Entry 7:
DFT (PBE-GGA) results for a geometry-optimized PmNdEuGd structure.

a b c (Å): 8.2734 8.2734 8.2734
angles (deg): 90.00 90.00 90.00
Last column: nearest neighbours and their distance in Å.
Space group F-43m (No. 216)
One atom of each set of equivalent atoms:
Pm (0.0000, 0.0000, 0.0000) x4  4 Gd 3.58, 4 Nd 3.58
Nd (0.2500, 0.2500, 0.7500) x4  4 Pm 3.58, 4 Eu 3.58
Eu (0.0000, 0.0000, 0.5000) x4  4 Gd 3.58, 4 Nd 3.58
Gd (0.2500, 0.2500, 0.2500) x4  4 Pm 3.58, 4 Eu 3.58

Values from the calculation:
Formation enthalpy at 0 K ... 0.133 eV/atom
Total DFT energy (no corrections) ... -8.3355 eV per atom


Entry 8:
DFT (PBE-GGA) results for a geometry-optimized SmScSi2Os structure.

a b c (Å): 4.0551 4.0551 11.2714
angles (deg): 90.00 90.00 90.00
Last column: nearest neighbours and their distance in Å.
Space group I-4m2 (No. 119)
One atom of each set of equivalent atoms:
Sm (0.0000, 0.0000, 0.0000) x2  8 Si 3.11, 4 Os 3.47, 4 Sc 3.47
Sc (0.0000, 0.5000, 0.7500) x2  4 Si 2.60, 4 Os 2.87
Si (0.0000, 0.0000, 0.3937) x4  1 Si 2.40, 2 Os 2.60, 2 Sc 2.60
Os (0.0000, 0.5000, 0.2500) x2  4 Si 2.60, 4 Sc 2.87

Values from the calculation:
Total DFT energy (no corrections) ... -7.3438 eV per atom